(1)
Here is crystalline Nd2As4Pd3Rh at its relaxed geometry from the Alexandria database. Energies are from PBE-GGA.

The structure in extended XYZ format:
```
10
Lattice="4.429 0.000 0.000 0.000 4.429 0.000 0.000 0.000 9.882" Properties=species:S:1:pos:R:3 pbc="T T T"
Pd 0.000 0.000 4.941
Pd 0.000 2.214 1.226
Pd 2.214 0.000 8.656
As 2.214 2.214 0.000
As 0.000 0.000 0.000
As 2.214 0.000 6.197
As 0.000 2.214 3.684
Rh 2.214 2.214 4.941
Nd 2.214 0.000 2.458
Nd 0.000 2.214 7.424
```

Calculated values
formation energy: -861 meV per atom
space-group type: No. 115

---

(2)
Here is crystalline NdAs2PdRh2 at its relaxed geometry from the Alexandria database. Energies are from PBE-GGA.

The structure in extended XYZ format:
```
6
Lattice="-4.192 0.937 0.555 1.552 -0.708 -3.981 -1.360 -6.452 0.618" Properties=species:S:1:pos:R:3 pbc="T T T"
Pd -0.680 -3.226 0.309
As -3.260 -4.275 -0.510
As -0.740 -1.948 -2.298
Rh -2.726 -1.739 -0.753
Rh -1.274 -4.484 -2.055
Nd 0.000 0.000 0.000
```

Calculated values
formation energy: -769 meV per atom
space-group type: No. 164

---

(3)
Here is crystalline NdAs2Pd2Rh at its relaxed geometry from the Alexandria database. Energies are from PBE-GGA.

The structure in extended XYZ format:
```
6
Lattice="3.967 0.000 0.000 0.000 3.967 0.000 -1.983 -1.983 9.190" Properties=species:S:1:pos:R:3 pbc="T T T"
Rh 0.000 0.000 0.000
Nd 1.983 1.983 0.000
Pd 1.983 0.000 4.595
Pd 0.000 1.983 4.595
As 0.000 0.000 6.136
As 1.983 1.983 3.054
```

Calculated values
formation energy: -45 meV per atom
space-group type: No. 139

---

(4)
Here is crystalline Nd2As3PdRh4 at its relaxed geometry from the Alexandria database. Energies are from PBE-GGA.

The structure in extended XYZ format:
```
10
Lattice="-2.238 -3.534 -0.217 2.000 -1.050 -3.527 7.372 -5.017 5.673" Properties=species:S:1:pos:R:3 pbc="T T T"
Nd 6.447 -4.232 2.428
Nd 0.806 -3.077 1.373
Rh 0.000 0.000 0.000
Rh 3.640 -5.006 3.553
Rh -0.119 -2.292 -1.872
Rh 3.613 -2.303 0.247
As 5.284 -6.125 4.819
As 1.969 -1.184 -1.018
As 3.686 -2.509 2.837
Pd 3.567 -4.801 0.964
```

Calculated values
formation energy: -830 meV per atom
space-group type: No. 115

---

(5)
Here is crystalline Nd2SbAs3Pd4 at its relaxed geometry from the Alexandria database. Energies are from PBE-GGA.

The structure in extended XYZ format:
```
10
Lattice="4.300 0.000 0.000 0.000 4.300 0.000 0.000 0.000 11.026" Properties=species:S:1:pos:R:3 pbc="T T T"
As 0.000 0.000 5.513
As 2.150 0.000 9.583
As 0.000 2.150 1.443
Nd 2.150 0.000 2.484
Nd 0.000 2.150 8.542
Pd 0.000 2.150 3.906
Pd 2.150 2.150 0.000
Pd 2.150 0.000 7.120
Pd 0.000 0.000 0.000
Sb 2.150 2.150 5.513
```

Calculated values
formation energy without anion corrections: -0.84 eV/atom
space-group type: No. 115

---

(6)
Here is crystalline NdSb2As2Pd7 at its relaxed geometry from the Alexandria database. Energies are from PBE-GGA.

The structure in extended XYZ format:
```
12
Lattice="-0.016 -3.318 2.920 -1.963 -2.809 -2.792 8.425 -9.555 -3.723" Properties=species:S:1:pos:R:3 pbc="T T T"
Sb 4.947 -8.406 -2.435
Sb 1.500 -7.277 -1.160
Pd 0.825 -5.328 0.848
Pd 6.594 -10.609 -1.589
Pd 3.794 -6.062 -1.833
Pd -0.147 -5.073 -2.006
Pd 5.622 -10.355 -4.443
Pd 2.653 -9.620 -1.762
Pd -0.989 -3.064 0.064
Nd 0.000 0.000 0.000
As 4.305 -11.582 -2.500
As 2.141 -4.101 -1.095
```

Calculated values
formation energy without anion corrections: -0.39 eV/atom
space-group type: No. 12

---

Q: What is the formula in the third record?
A: NdAs2Pd2Rh